Record 1
Density functional theory data (GGA-PBEsol) for a geometry-optimized MgTl2 structure.

a b c (Å): 3.3777 3.3777 13.8746
angles (deg): 96.99 96.99 90.00
Positions (direct):
Tl: 0.4244 0.4244 0.8488
Tl: 0.6744 0.1744 0.3488
Tl: 0.5756 0.5756 0.1512
Tl: 0.8256 0.3256 0.6512
Mg: 0.2500 0.7500 0.5000
Mg: 0.0000 0.0000 0.0000

Results
- Polymorph energy (0 for the lowest one): 40 meV/atom
- Space group: I4_1/amd, No. 141
- ρ: 9224 kg/m3

=====

Record 2
Density functional theory data (GGA-PBEsol) for a geometry-optimized MgTl2 structure.

a b c (Å): 3.4510 8.7827 8.7827
angles (deg): 120.00 90.00 90.00
Positions (direct):
Tl: 0.0000 0.0000 0.2935
Tl: 0.5000 0.0000 0.6262
Tl: 0.5000 0.6262 0.0000
Tl: 0.0000 0.7065 0.7065
Tl: 0.0000 0.2935 0.0000
Tl: 0.5000 0.3738 0.3738
Mg: 0.0000 0.6667 0.3333
Mg: 0.5000 0.0000 0.0000
Mg: 0.0000 0.3333 0.6667

Results
- Polymorph energy (0 for the lowest one): 16 meV/atom
- Space group: P-62m, No. 189
- ρ: 9358 kg/m3

=====

Record 3
Density functional theory data (GGA-PBEsol) for a geometry-optimized Mg4Tl3 structure.

a b c (Å): 5.5655 6.1382 6.1382
angles (deg): 120.00 90.00 90.00
Positions (direct):
Mg: 0.7459 0.0000 0.0000
Mg: 0.2541 0.0000 0.0000
Mg: 0.5000 0.3333 0.6667
Mg: 0.5000 0.6667 0.3333
Tl: 0.0000 0.0000 0.5000
Tl: 0.0000 0.5000 0.5000
Tl: 0.0000 0.5000 0.0000

Results
- Polymorph energy (0 for the lowest one): 149 meV/atom
- Space group: P6/mmm, No. 191
- ρ: 6496 kg/m3

=====

Record 4
Density functional theory data (GGA-PBEsol) for a geometry-optimized MgTl3 structure.

a b c (Å): 5.3176 5.3176 5.3176
angles (deg): 60.00 60.00 60.00
Positions (direct):
Mg: 0.0000 0.0000 0.0000
Tl: 0.7500 0.7500 0.7500
Tl: 0.2500 0.2500 0.2500
Tl: 0.5000 0.5000 0.5000

Results
- Space group: Fm-3m, No. 225
- Total energy: -9.6 eV per cell
- ρ: 9956 kg/m3

=====

Record 5
Density functional theory data (GGA-PBEsol) for a geometry-optimized Mg3Tl structure.

a b c (Å): 4.4919 4.4919 9.4511
angles (deg): 103.75 103.75 90.00
Positions (direct):
Mg: 0.8768 0.8768 0.7536
Mg: 0.1232 0.1232 0.2464
Mg: 0.0000 0.5000 0.0000
Mg: 0.5000 0.0000 0.0000
Mg: 0.2500 0.7500 0.5000
Mg: 0.7500 0.2500 0.5000
Tl: 0.3730 0.3730 0.7459
Tl: 0.6270 0.6270 0.2541

Results
- Space group: I4/mmm, No. 139
- Total energy: -16.1 eV per cell
- ρ: 5127 kg/m3

=====

Record 6
Density functional theory data (GGA-PBEsol) for a geometry-optimized MgTl3 structure.

a b c (Å): 3.4472 3.4476 8.8482
angles (deg): 90.00 90.00 90.00
Positions (direct):
Tl: 0.5000 0.5000 0.2258
Tl: 0.5000 0.5000 0.7742
Tl: 0.0000 0.0000 0.5000
Mg: 0.0000 0.0000 0.0000

Results
- Space group: P4/mmm, No. 123
- Total energy: -9.7 eV per cell
- ρ: 10066 kg/m3

=====

Record 7
Density functional theory data (GGA-PBEsol) for a geometry-optimized Mg12Tl17 structure.

a b c (Å): 9.8556 9.8556 9.8556
angles (deg): 109.47 109.47 109.47
Positions (direct):
Tl: 0.0000 0.5835 0.3066
Tl: 0.0000 0.3262 0.0000
Tl: 0.3066 0.5835 0.0000
Tl: 0.6934 0.6934 0.2769
Tl: 0.7231 0.4165 0.4165
Tl: 0.0000 0.0000 0.3262
Tl: 0.3262 0.0000 0.0000
Tl: 0.5835 0.0000 0.3066
Tl: 0.5835 0.3066 0.0000
Tl: 0.4165 0.4165 0.7231
Tl: 0.0000 0.0000 0.0000
Tl: 0.4165 0.7231 0.4165
Tl: 0.6934 0.2769 0.6934
Tl: 0.0000 0.3066 0.5835
Tl: 0.6738 0.6738 0.6738
Tl: 0.2769 0.6934 0.6934
Tl: 0.3066 0.0000 0.5835
Mg: 0.8067 0.0000 0.6128
Mg: 0.6128 0.0000 0.8067
Mg: 0.3872 0.3872 0.1940
Mg: 0.1933 0.1933 0.8060
Mg: 0.8067 0.6128 0.0000
Mg: 0.0000 0.6128 0.8067
Mg: 0.1933 0.8060 0.1933
Mg: 0.1940 0.3872 0.3872
Mg: 0.6128 0.8067 0.0000
Mg: 0.0000 0.8067 0.6128
Mg: 0.8060 0.1933 0.1933
Mg: 0.3872 0.1940 0.3872

Results
- Space group: I-43m, No. 217
- Total energy: -65.6 eV per cell
- ρ: 8486 kg/m3

=====

Record 8
Density functional theory data (GGA-PBEsol) for a geometry-optimized MgTl2 structure.

a b c (Å): 5.3589 5.3589 6.2640
angles (deg): 90.00 90.00 120.00
Positions (direct):
Tl: 0.3333 0.6667 0.7500
Tl: 0.0000 0.0000 0.5000
Tl: 0.0000 0.0000 0.0000
Tl: 0.6667 0.3333 0.2500
Mg: 0.6667 0.3333 0.7500
Mg: 0.3333 0.6667 0.2500

Results
- Polymorph energy (0 for the lowest one): 47 meV/atom
- Space group: P6_3/mmc, No. 194
- ρ: 9232 kg/m3

=====

Record 9
Density functional theory data (GGA-PBEsol) for a geometry-optimized MgTl2 structure.

a b c (Å): 3.9338 5.1611 7.8325
angles (deg): 90.00 104.54 90.00
Positions (direct):
Tl: 0.5782 0.7500 0.1565
Tl: 0.2531 0.7500 0.5063
Tl: 0.7469 0.2500 0.4937
Tl: 0.4218 0.2500 0.8435
Mg: 0.9177 0.7500 0.8354
Mg: 0.0823 0.2500 0.1646

Results
- Polymorph energy (0 for the lowest one): 14 meV/atom
- Space group: Cmcm, No. 63
- ρ: 9344 kg/m3

=====

Record 10
Density functional theory data (GGA-PBEsol) for a geometry-optimized MgTl2 structure.

a b c (Å): 9.5459 9.5459 9.5459
angles (deg): 60.00 60.00 60.00
Positions (direct):
Tl: 0.5639 0.5639 0.9361
Tl: 0.1250 0.6250 0.1250
Tl: 0.3139 0.6861 0.6861
Tl: 0.9361 0.5639 0.9361
Tl: 0.6861 0.3139 0.3139
Tl: 0.3139 0.6861 0.3139
Tl: 0.9361 0.9361 0.5639
Tl: 0.6861 0.6861 0.3139
Tl: 0.9361 0.5639 0.5639
Tl: 0.6861 0.3139 0.6861
Tl: 0.1250 0.1250 0.1250
Tl: 0.5639 0.9361 0.5639
Tl: 0.5639 0.9361 0.9361
Tl: 0.6250 0.1250 0.1250
Tl: 0.3139 0.3139 0.6861
Tl: 0.1250 0.1250 0.6250
Mg: 0.9120 0.9120 0.9120
Mg: 0.3380 0.9860 0.3380
Mg: 0.9860 0.3380 0.3380
Mg: 0.9120 0.9120 0.2640
Mg: 0.3380 0.3380 0.9860
Mg: 0.3380 0.3380 0.3380
Mg: 0.9120 0.2640 0.9120
Mg: 0.2640 0.9120 0.9120

Results
- Polymorph energy (0 for the lowest one): 0 meV/atom
- Space group: Fd-3m, No. 227
- ρ: 9353 kg/m3

=====

Record 11
Density functional theory data (GGA-PBEsol) for a geometry-optimized MgTl3 structure.

a b c (Å): 3.3783 3.3783 10.7910
angles (deg): 90.00 90.00 120.00
Positions (direct):
Mg: 0.0000 0.0000 0.0000
Tl: 0.0000 0.0000 0.5000
Tl: 0.3333 0.6667 0.2357
Tl: 0.3333 0.6667 0.7643

Results
- Space group: P-6m2, No. 187
- Total energy: -9.6 eV per cell
- ρ: 9925 kg/m3

=====

Record 12
Density functional theory data (GGA-PBEsol) for a geometry-optimized TmMgTl structure.

a b c (Å): 4.5673 7.3832 7.3832
angles (deg): 120.00 90.00 90.00
Positions (direct):
Tl: 0.5000 0.6667 0.3333
Tl: 0.0000 0.0000 0.0000
Tl: 0.5000 0.3333 0.6667
Mg: 0.5000 0.7568 0.7568
Mg: 0.5000 0.0000 0.2432
Mg: 0.5000 0.2432 0.0000
Tm: 0.0000 0.5679 0.0000
Tm: 0.0000 0.4321 0.4321
Tm: 0.0000 0.0000 0.5679

Results
- Space group: P-62m, No. 189
- Total energy: -30.9 eV per cell
- ρ: 9187 kg/m3